[1]
! Ho6Si3Ge PBE-GGA optimized geometry; values from VASP
! - DFT total energy: -5.38 eV/atom
! - Spin magnetization: 0.0 μB/cell
! - Space-group type: P2_1/c
&SYSTEM
  ibrav = 0, nat = 20, ntyp = 3
/
ATOMIC_SPECIES
Ho 164.93 Ho.upf
Si 28.09 Si.upf
Ge 72.64 Ge.upf
CELL_PARAMETERS angstrom
6.1285 0.0000 -0.0201
0.0000 7.9773 0.0000
0.0533 0.0000 10.5152
ATOMIC_POSITIONS angstrom
Ho 3.9195 3.5722 2.6004
Ho 2.2457 6.5423 0.7917
Ho 2.2525 6.5689 4.4545
Ho 2.2623 4.4051 7.8947
Ho 3.9361 1.4350 9.7034
Ho 5.2999 7.5608 2.6271
Ho 3.9293 1.4084 6.0406
Ho 5.3366 5.4237 6.0393
Ho 0.8384 2.5803 0.7930
Ho 0.8819 0.4165 7.8680
Ho 5.3434 5.3970 9.7021
Ho 0.8452 2.5536 4.4558
Si 5.6440 3.0976 7.8623
Si 0.0267 0.0000 5.2576
Si 0.5378 4.8797 2.6328
Si 3.6287 7.0862 7.8803
Si 3.0643 3.9887 -0.0101
Si 2.5531 0.8911 2.6148
Ge 0.0000 0.0000 0.0000
Ge 3.0909 3.9887 5.2476

[2]
! Ho5Si2Ge PBE-GGA optimized geometry; values from VASP
! - DFT total energy: -5.48 eV/atom
! - Spin magnetization: 0.0 μB/cell
! - Space-group type: I4/mcm
&SYSTEM
  ibrav = 0, nat = 16, ntyp = 3
/
ATOMIC_SPECIES
Si 28.09 Si.upf
Ho 164.93 Ho.upf
Ge 72.64 Ge.upf
CELL_PARAMETERS angstrom
-5.5417 0.6565 5.0687
0.1240 -7.4569 1.1013
7.2762 4.1984 1.8052
ATOMIC_POSITIONS angstrom
Si -4.7579 -4.1057 5.1139
Si -0.6599 -2.6947 1.0561
Si -3.4611 -0.5382 3.3205
Si -1.9566 -6.2622 2.8496
Ho -2.2844 -5.5308 5.7150
Ho 2.3568 -1.7929 4.6990
Ho 0.4662 -4.6445 3.0013
Ho 0.0000 0.0000 0.0000
Ho 1.3922 2.0425 4.9739
Ho -3.2490 -1.6954 5.9899
Ho 4.1429 2.9288 2.2602
Ho -2.7089 -3.4002 3.0850
Ho -0.4984 -0.8091 3.2762
Ho 5.1075 -0.9066 1.9853
Ge 2.2837 0.3991 2.4451
Ge -0.4252 -3.0011 5.5301

[3]
! Ho2SiGe PBE-GGA optimized geometry; values from VASP
! - DFT total energy: -5.35 eV/atom
! - Spin magnetization: 0.0 μB/cell
! - Space-group type: R-3m
&SYSTEM
  ibrav = 0, nat = 4, ntyp = 3
/
ATOMIC_SPECIES
Ho 164.93 Ho.upf
Ge 72.64 Ge.upf
Si 28.09 Si.upf
CELL_PARAMETERS angstrom
-1.3425 2.3297 2.7605
-3.1288 2.1538 -0.6495
-5.8641 -4.0815 3.2824
ATOMIC_POSITIONS angstrom
Ho -7.7743 0.2725 4.0584
Ho -2.5611 0.1295 1.3349
Ge -5.1677 0.2010 2.6967
Si 0.0000 0.0000 0.0000

[4]
! Ho3SiGe2 PBE-GGA optimized geometry; values from VASP
! - DFT total energy: -5.47 eV/atom
! - Spin magnetization: 0.0 μB/cell
! - Space-group type: Pnma
&SYSTEM
  ibrav = 0, nat = 24, ntyp = 3
/
ATOMIC_SPECIES
Ho 164.93 Ho.upf
Ge 72.64 Ge.upf
Si 28.09 Si.upf
CELL_PARAMETERS angstrom
-3.9945 -0.8199 0.3441
-0.9058 -0.3879 -11.4380
2.3262 -11.2503 0.1973
ATOMIC_POSITIONS angstrom
Ho -1.2055 -1.0064 -4.2249
Ho -1.1450 -2.8653 -7.9513
Ho -0.5108 -4.6807 -4.9145
Ho -2.5131 -3.9338 -2.0452
Ho -1.4290 -9.5928 -2.9453
Ho -2.0633 -7.7774 -5.9820
Ho -1.3686 -11.4517 -6.6717
Ho -2.7634 -5.9257 -9.6961
Ho -3.5775 -2.3026 -10.5137
Ho 1.0034 -10.1555 -0.3828
Ho -0.0610 -8.5243 -8.8513
Ho 0.1893 -6.5323 -1.2004
Ge 0.5615 -11.5892 -8.9278
Ge -0.5019 -5.9214 -7.7674
Ge -2.2944 -8.7665 -11.0211
Ge -3.0082 -2.9489 -5.4460
Ge -2.0722 -6.5367 -3.1292
Ge 0.4341 -9.5092 -5.4506
Ge -3.1356 -0.8689 -1.9687
Ge -0.2796 -3.6916 0.1246
Si -0.8110 -1.7224 -1.3514
Si -1.7631 -10.7357 -9.5452
Si 0.1309 -7.4422 -4.0454
Si -2.7050 -5.0159 -6.8511

[5]
! Ho4SiGe3 PBE-GGA optimized geometry; values from VASP
! - DFT total energy: -5.55 eV/atom
! - Spin magnetization: 0.0 μB/cell
! - Space-group type: Pmm2
&SYSTEM
  ibrav = 0, nat = 8, ntyp = 3
/
ATOMIC_SPECIES
Ge 72.64 Ge.upf
Ho 164.93 Ho.upf
Si 28.09 Si.upf
CELL_PARAMETERS angstrom
3.9199 0.0000 0.0000
0.0000 4.2614 0.0000
0.0000 0.0000 10.6286
ATOMIC_POSITIONS angstrom
Ge 1.9600 2.1307 0.9088
Ge 0.0000 2.1307 9.7137
Ge 1.9600 0.0000 6.1802
Ho 0.0000 2.1307 6.7685
Ho 1.9600 2.1307 3.8494
Ho 1.9600 0.0000 9.1531
Ho 0.0000 0.0000 1.4989
Si 0.0000 0.0000 4.4418

[6]
! Ho2SiGe PBE-GGA optimized geometry; values from VASP
! - DFT total energy: -5.63 eV/atom
! - Spin magnetization: 0.0 μB/cell
! - Space-group type: Amm2
&SYSTEM
  ibrav = 0, nat = 4, ntyp = 3
/
ATOMIC_SPECIES
Ho 164.93 Ho.upf
Si 28.09 Si.upf
Ge 72.64 Ge.upf
CELL_PARAMETERS angstrom
-0.0772 -4.5316 3.4527
3.5007 4.3953 -0.9432
-1.8942 2.0876 2.6975
ATOMIC_POSITIONS angstrom
Ho 3.0050 3.1585 -0.3342
Ho -0.5245 -2.2409 4.1874
Si 0.4718 0.2450 2.9633
Ge 2.0005 0.6523 0.9000